[1]
# Ca4Pr2Bi3H2 | Alexandria via LeMat-Bulk | PBE | relaxed
# total DFT energy (no corrections) = -3.970 eV per atom
# N(E_F) = 3.36 states/eV per cell
data_Ca4Pr2Bi3H2
_symmetry_space_group_name_H-M 'P 1'
_symmetry_Int_Tables_number 1
_cell_length_a 4.826
_cell_length_b 4.826
_cell_length_c 13.297
_cell_angle_alpha 100.45
_cell_angle_beta 100.45
_cell_angle_gamma 90.00
loop_
_symmetry_equiv_pos_as_xyz
'x,y,z'
loop_
_atom_site_label
_atom_site_type_symbol
_atom_site_fract_x
_atom_site_fract_y
_atom_site_fract_z
_atom_site_occupancy
Pr1 Pr 0.300 0.300 0.600 1
H1 H 0.601 0.601 0.202 1
Ca1 Ca 0.918 0.418 0.835 1
Bi1 Bi 0.173 0.173 0.345 1
Ca2 Ca 0.082 0.582 0.165 1
Ca3 Ca 0.582 0.082 0.165 1
Bi2 Bi 0.827 0.827 0.655 1
Bi3 Bi 0.000 0.000 0.000 1
Ca4 Ca 0.418 0.918 0.835 1
H2 H 0.399 0.399 0.798 1
Pr2 Pr 0.700 0.700 0.400 1


[2]
# PmPr12Y3 | Alexandria via LeMat-Bulk | PBE | relaxed
# formation energy from the elements = 0.010 eV/atom
# N(E_F) = 24.98 states/eV per cell
data_PmPr12Y3
_symmetry_space_group_name_H-M 'P 1'
_symmetry_Int_Tables_number 1
_cell_length_a 5.213
_cell_length_b 5.213
_cell_length_c 20.791
_cell_angle_alpha 90.00
_cell_angle_beta 90.00
_cell_angle_gamma 90.00
loop_
_symmetry_equiv_pos_as_xyz
'x,y,z'
loop_
_atom_site_label
_atom_site_type_symbol
_atom_site_fract_x
_atom_site_fract_y
_atom_site_fract_z
_atom_site_occupancy
Pr1 Pr 0.500 0.500 0.749 1
Y1 Y 0.000 0.000 0.251 1
Pr2 Pr 0.000 0.500 0.625 1
Pr3 Pr 0.500 0.000 0.126 1
Pr4 Pr 0.500 0.500 0.500 1
Pr5 Pr 0.500 0.000 0.625 1
Y2 Y 0.000 0.000 0.500 1
Pr6 Pr 0.500 0.000 0.874 1
Pr7 Pr 0.000 0.500 0.126 1
Pr8 Pr 0.500 0.000 0.375 1
Y3 Y 0.000 0.000 0.749 1
Pm1 Pm 0.000 0.000 0.000 1
Pr9 Pr 0.000 0.500 0.874 1
Pr10 Pr 0.500 0.500 0.251 1
Pr11 Pr 0.000 0.500 0.375 1
Pr12 Pr 0.500 0.500 0.000 1


[3]
# Mn2InPt | Alexandria via LeMat-Bulk | PBE | relaxed
# formation energy from the elements = 0.250 eV/atom
# N(E_F) = 7.90 states/eV per cell
data_Mn2InPt
_symmetry_space_group_name_H-M 'P 1'
_symmetry_Int_Tables_number 1
_cell_length_a 7.356
_cell_length_b 7.356
_cell_length_c 5.873
_cell_angle_alpha 51.23
_cell_angle_beta 51.23
_cell_angle_gamma 90.00
loop_
_symmetry_equiv_pos_as_xyz
'x,y,z'
loop_
_atom_site_label
_atom_site_type_symbol
_atom_site_fract_x
_atom_site_fract_y
_atom_site_fract_z
_atom_site_occupancy
Mn1 Mn 0.656 0.125 0.250 1
In1 In 0.500 0.500 0.000 1
Mn2 Mn 0.094 0.625 0.250 1
In2 In 0.250 0.750 0.500 1
Pt1 Pt 0.750 0.250 0.500 1
Mn3 Mn 0.375 0.344 0.750 1
Mn4 Mn 0.875 0.906 0.750 1
Pt2 Pt 0.000 0.000 0.000 1